Density functional theory data (GGA-PBE) for a relaxed CaTi2Co2 crystal.

E_form (eV/atom): -0.0287
Calculated density (g/cm³): 5.33
V (Å³ per cell): 158
Total moment (μB per formula unit): 0.0

Cell: 7.491 7.491 2.815 Å, 90.00 90.00 90.00°
Sites, in units of the cell vectors:
Ca: 0.000 0.000 0.000
Ca: 0.500 0.500 0.000
Co: 0.141 0.641 0.500
Co: 0.641 0.859 0.500
Co: 0.859 0.359 0.500
Co: 0.359 0.141 0.500
Ti: 0.360 0.860 0.000
Ti: 0.860 0.640 0.000
Ti: 0.640 0.140 0.000
Ti: 0.140 0.360 0.000



Density functional theory data (GGA-PBE) for a relaxed Ca2TiCo crystal.

E_form (eV/atom): 0.4359
Calculated density (g/cm³): 2.52
V (Å³ per cell): 246
Total moment (μB per formula unit): 0.0

Cell: 10.733 10.733 7.885 Å, 47.11 47.11 90.00°
Sites, in units of the cell vectors:
Ca: 0.790 0.125 0.250
Ca: 0.960 0.625 0.250
Ca: 0.375 0.210 0.750
Ca: 0.875 0.040 0.750
Co: 0.000 0.000 0.000
Co: 0.750 0.250 0.500
Ti: 0.500 0.500 0.000
Ti: 0.250 0.750 0.500



Density functional theory data (GGA-PBE) for a relaxed Ca2TiCo crystal.

E_form (eV/atom): 0.7880
Calculated density (g/cm³): 3.38
V (Å³ per cell): 92
Total moment (μB per formula unit): 0.9

Cell: 5.062 5.062 5.062 Å, 60.00 60.00 60.00°
Each line ends with the local moment (μB).
Sites, in units of the cell vectors:
Ca: 0.250 0.250 0.250  0.03
Ca: 0.750 0.750 0.750  0.03
Co: 0.500 0.500 0.500  -1.14
Ti: 0.000 0.000 0.000  0.01



Density functional theory data (GGA-PBE) for a relaxed CaTiCo4 crystal.

E_form (eV/atom): -0.0013
Calculated density (g/cm³): 6.44
V (Å³ per cell): 84
Total moment (μB per formula unit): 3.8

Cell: 4.906 4.906 4.906 Å, 60.00 60.00 60.00°
Each line ends with the local moment (μB).
Sites, in units of the cell vectors:
Ca: 0.000 0.000 0.000  -0.10
Co: 0.624 0.624 0.127  1.28
Co: 0.624 0.127 0.624  1.28
Co: 0.624 0.624 0.624  1.28
Co: 0.127 0.624 0.624  1.28
Ti: 0.250 0.250 0.250  -0.82



Density functional theory data (GGA-PBE) for a relaxed Ca3TiCo crystal.

E_form (eV/atom): 0.7090
Calculated density (g/cm³): 2.52
V (Å³ per cell): 149
Total moment (μB per formula unit): 0.3

Cell: 5.306 5.306 5.306 Å, 90.00 90.00 90.00°
Each line ends with the local moment (μB).
Sites, in units of the cell vectors:
Ca: 0.000 0.500 0.000  0.02
Ca: 0.000 0.000 0.500  0.03
Ca: 0.500 0.000 0.000  0.02
Co: 0.000 0.000 0.000  -0.27
Ti: 0.500 0.500 0.500  -0.22



Density functional theory data (GGA-PBE) for a relaxed CaTiCo2W crystal.

E_form (eV/atom): 1.5642
Calculated density (g/cm³): 7.41
V (Å³ per cell): 87
Total moment (μB per formula unit): 2.3

Cell: 4.291 4.744 4.291 Å, 90.00 90.00 90.00°
Each line ends with the local moment (μB).
Sites, in units of the cell vectors:
Ca: 0.000 0.500 0.000  -0.03
Co: 0.000 0.000 0.500  0.46
Co: 0.500 0.000 0.000  0.44
W: 0.500 0.500 0.500  1.60
Ti: 0.000 0.000 0.000  -0.48



Density functional theory data (GGA-PBE) for a relaxed CaZrTiCo2 crystal.

E_form (eV/atom): 0.8750
Calculated density (g/cm³): 4.60
V (Å³ per cell): 107
Total moment (μB per formula unit): 0.9

Cell: 4.714 4.827 4.714 Å, 90.00 90.00 90.00°
Each line ends with the local moment (μB).
Sites, in units of the cell vectors:
Ca: 0.500 0.500 0.500  -0.02
Co: 0.000 0.000 0.500  0.79
Co: 0.500 0.000 0.000  0.60
Zr: 0.000 0.000 0.000  -0.13
Ti: 0.000 0.500 0.000  -0.15



Density functional theory data (GGA-PBE) for a relaxed CaTl2Co2 crystal.

E_form (eV/atom): 0.2304
Calculated density (g/cm³): 8.82
V (Å³ per cell): 107
Total moment (μB per formula unit): 2.2

Cell: 4.665 4.665 5.911 Å, 66.76 66.76 90.00°
Each line ends with the local moment (μB).
Sites, in units of the cell vectors:
Tl: 0.750 0.250 0.500  -0.04
Tl: 0.250 0.750 0.500  -0.04
Co: 0.391 0.391 0.218  1.24
Co: 0.609 0.609 0.782  1.24
Ca: 0.000 0.000 0.000  -0.04